# GGA-PBE GdDyTh, optimized geometry
# Electronic total energy ... -8.6807 eV per atom
# Total magnetization ... 7.4 μB/cell
# D(E_F) ... 4.92 states/eV/f.u.
# ΔH_f (0 K) ... 0.061 eV per formula unit
data_GdDyTh
_chemical_formula_sum 'Gd1 Dy1 Th1'
_cell_length_a 3.5760
_cell_length_b 3.5760
_cell_length_c 8.6941
_cell_angle_alpha 90.00
_cell_angle_beta 90.00
_cell_angle_gamma 120.00
_space_group_name_H-M_alt 'P 3 m 1'
_space_group_IT_number 156
_space_group_name_Hall 'P 3 -2"'
loop_
_atom_site_label
_atom_site_type_symbol
_atom_site_fract_x
_atom_site_fract_y
_atom_site_fract_z
Gd1 Gd 0.0000 0.0000 0.0000
Dy1 Dy 0.6667 0.3333 0.3502
Th1 Th 0.3333 0.6667 0.6748